Entry from Alexandria: crystalline YInSb at its relaxed geometry (PBE).

a b c (Å): 5.1380 5.1380 5.1380
angles (deg): 60.00 60.00 60.00
Fractional positions:
Sb1 0.5000 0.5000 0.5000
In1 0.0000 0.0000 0.0000
Y1 0.7500 0.7500 0.7500

## Properties
raw formation energy: -26.6 kJ/mol of atoms
total energy: -14.15 eV for the cell shown
spin magnetization: 0.00 μB/f.u.
symmetry: F-43m (216)

=====

Entry from Alexandria: crystalline CePr4 at its relaxed geometry (PBE).

a b c (Å): 3.6547 7.1214 7.1214
angles (deg): 86.22 75.13 75.13
Fractional positions:
Pr1 0.5917 0.6184 0.1983
Pr2 0.7899 0.8017 0.6184
Pr3 0.4083 0.3816 0.8017
Pr4 0.2101 0.1983 0.3816
Ce1 0.0000 0.0000 0.0000

## Properties
polymorph energy (0 for the lowest one): 0.0000 eV/atom
total energy: -24.35 eV for the cell shown
spin magnetization: 1.35 μB/f.u.
symmetry: I4/m (87)
energy of formation: 139.4 meV/atom

=====

Entry from Alexandria: crystalline Li3ZrU3Se8 at its relaxed geometry (PBE).

a b c (Å): 7.9618 7.9616 8.0618
angles (deg): 119.61 90.00 120.00
Fractional positions:
Li1 0.0000 0.5000 0.0000
Li2 0.0000 0.0000 0.0000
Li3 0.5000 0.5000 0.0000
U1 0.0000 0.5000 0.5000
U2 0.5000 0.0000 0.5000
U3 0.5000 0.5000 0.5000
Se1 0.7561 0.5122 0.2502
Se2 0.7561 0.9939 0.2502
Se3 0.2439 0.4878 0.7498
Se4 0.7546 0.5092 0.7636
Se5 0.2454 0.4908 0.2364
Se6 0.2439 0.0061 0.7498
Se7 0.2377 0.9939 0.2502
Se8 0.7623 0.0061 0.7498
Zr1 0.0000 0.0000 0.5000

## Properties
raw formation energy: -118.5 kJ/mol of atoms
total energy: -94.45 eV for the cell shown
spin magnetization: 8.99 μB/f.u.
symmetry: R-3m (166)

=====

Entry from Alexandria: crystalline Er2NiGe6 at its relaxed geometry (PBE).

a b c (Å): 10.8366 10.8366 4.0457
angles (deg): 90.00 90.00 158.74
Fractional positions:
Ge1 0.6192 0.3808 0.5000
Ge2 0.1206 0.8794 0.0000
Ge3 0.7610 0.2390 0.0000
Ge4 0.0018 0.9982 0.0000
Ge5 0.3360 0.6640 0.0000
Ge6 0.5013 0.4987 0.5000
Ni1 0.4439 0.5561 0.0000
Er1 0.8857 0.1143 0.5000
Er2 0.2236 0.7764 0.5000

## Properties
total energy: -47.13 eV for the cell shown
spin magnetization: 0.00 μB/f.u.
symmetry: Amm2 (38)
energy of formation: -502.2 meV/atom